Record 1
KZnInGa2 | PBE | optimized geometry

a = 4.6065 Å, b = 4.6305 Å, c = 11.4711 Å
α = 90.00°, β = 90.00°, γ = 90.00°
Last column: nearest neighbours and their distance in Å.
Space group Imm2 (No. 44)
Symmetry-distinct sites (fractional):
K  0.0000  0.0000  0.0000 x2  4 Zn 3.51, 8 Ga 3.52-3.69, 4 In 3.66-3.70
Zn  0.0000  0.0000  0.3877 x2  3 Ga 2.59-2.80, 2 In 2.78
In  0.0000  0.5000  0.7523 x2  2 Zn 2.78, 2 Ga 2.81
Ga  0.0000  0.0000  0.6134 x2  1 Zn 2.59, 2 Ga 2.79, 2 In 2.81
Ga  0.0000  0.5000  0.2508 x2  2 Ga 2.79, 2 Zn 2.80

**Energy of formation from the pure elements**: -0.08 eV/atom



Record 2
Rb4Er3ScSe8 | PBE | optimized geometry

a = 8.3392 Å, b = 8.3392 Å, c = 23.9114 Å
α = 90.00°, β = 90.00°, γ = 120.00°
Last column: nearest neighbours and their distance in Å.
Space group R-3m (No. 166, hexagonal axes)
Symmetry-distinct sites (fractional):
Rb  0.0000  0.0000  0.0000 x3  6 Se 3.49
Rb  0.0000  0.5000  0.0000 x9  6 Se 3.42
Er  0.0000  0.5000  0.5000 x9  6 Se 2.87
Sc  0.0000  0.0000  0.5000 x3  6 Se 2.80
Se  0.0000  0.0000  0.2318 x6  3 Er 2.87
Se  0.0085  0.5043  0.2303 x18  1 Sc 2.80, 2 Er 2.87

**Calculated total energy**: -4.927 eV/atom



Record 3
Zr | PBE | optimized geometry

a = 3.0170 Å, b = 3.0170 Å, c = 3.0308 Å
α = 90.00°, β = 90.00°, γ = 120.00°
Last column: nearest neighbours and their distance in Å.
Space group P6/mmm (No. 191)
Symmetry-distinct sites (fractional):
Zr  0.0000  0.0000  0.0000 x1  8 Zr 3.02-3.03

**Energy of formation from the pure elements**: 0.36 eV/atom
**Energy above the most stable polymorph in this dataset**: 35.12 kJ per mole of atoms



no.,calculated volume (Å³ per cell)
1,244.68
2,1440.10
3,23.89